Compound: DyMgMnS4
Source: Alexandria via LeMat-Bulk
Functional: PBE
Structure: relaxed

Summary:
DOS(E_F), states/eV/f.u.: 0.36
Uncorrected formation energy, eV per atom: -1.271

Cell and atoms, written as CIF:
```
data_DyMgMnS4
_space_group_name_H-M_alt 'C 1 2/c 1'
_space_group_IT_number 15
_cell_length_a 10.5524
_cell_length_b 10.4643
_cell_length_c 7.7160
_cell_angle_alpha 90.00
_cell_angle_beta 132.74
_cell_angle_gamma 90.00
loop_
_space_group_symop_operation_xyz
'x,y,z'
'-x,-y,-z'
'-x,y,-z+1/2'
'x,-y,z+1/2'
'x+1/2,y+1/2,z'
'-x+1/2,-y+1/2,-z'
'-x+1/2,y+1/2,-z+1/2'
'x+1/2,-y+1/2,z+1/2'
loop_
_atom_site_label
_atom_site_type_symbol
_atom_site_fract_x
_atom_site_fract_y
_atom_site_fract_z
_atom_site_occupancy
Dy1 Dy 0.2500 0.2500 0.0000 1
Mg1 Mg 0.0000 0.1315 0.2500 1
Mn1 Mn 0.0000 0.5000 0.0000 1
S1 S 0.0143 0.2713 0.5201 1
S2 S 0.2247 0.4929 0.4903 1
```